[1]
Compound: SmYFe4
Source: the Alexandria database
Functional: meta-GGA SCAN
Structure: PBEsol geometry

Values from the calculation:
space-group type: F-43m, No. 216
formation energy: 0.037 eV per atom
magnetization: 7.9 Bohr magnetons per cell
calculated volume: 15.227 Å³ per atom

Cell and atoms, written as POSCAR:
```
SmYFe4
1.0
5.055 0.000 0.000
2.528 4.378 0.000
2.528 1.459 4.128
Sm Y Fe
1 1 4
Direct
0.250 0.250 0.250
0.000 0.000 0.000
0.625 0.125 0.625
0.625 0.625 0.125
0.625 0.625 0.625
0.125 0.625 0.625
```

[2]
Compound: SrY2AsPb
Source: the Alexandria database
Functional: meta-GGA SCAN
Structure: PBEsol geometry

Values from the calculation:
space-group type: P4/mmm, No. 123
formation energy: 1.207 eV per atom
magnetization: 1.7 Bohr magnetons per cell
calculated volume: 34.250 Å³ per atom

Cell and atoms, written as POSCAR:
```
SrY2AsPb
1.0
-3.986 3.525 -1.929
0.523 -2.162 -5.031
-3.870 -3.721 1.197
Pb Y As Sr
1 2 1 1
Direct
0.500 0.000 0.000
0.000 0.000 0.500
0.000 0.500 0.000
0.500 0.500 0.500
0.000 0.000 0.000
```

[3]
Compound: Rb2Zr2Ti
Source: the Alexandria database
Functional: meta-GGA SCAN
Structure: PBEsol geometry

Values from the calculation:
space-group type: I4/mmm, No. 139
formation energy: 1.215 eV per atom
magnetization: 2.3 Bohr magnetons per cell
calculated volume: 29.328 Å³ per atom

Cell and atoms, written as POSCAR:
```
Rb2Zr2Ti
1.0
4.099 0.000 0.000
0.000 4.099 0.000
-2.050 -2.050 8.727
Rb Zr Ti
2 2 1
Direct
0.250 0.750 0.500
0.750 0.250 0.500
0.428 0.428 0.855
0.572 0.572 0.145
0.000 0.000 0.000
```

[4]
Compound: Cs2CCl
Source: the Alexandria database
Functional: meta-GGA SCAN
Structure: PBEsol geometry

Values from the calculation:
space-group type: Fm-3m, No. 225
magnetization: 3.0 Bohr magnetons per cell
calculated volume: 32.187 Å³ per atom
raw formation energy: -0.093 eV/atom

Cell and atoms, written as POSCAR:
```
Cs2CCl
1.0
-2.986 -1.220 -4.660
-3.935 -4.076 0.142
-5.496 1.356 -0.280
Cs C Cl
2 1 1
Direct
0.250 0.250 0.250
0.750 0.750 0.750
0.000 0.000 0.000
0.500 0.500 0.500
```

[5]
Compound: Er2Si3
Source: the Alexandria database
Functional: meta-GGA SCAN
Structure: PBEsol geometry

Values from the calculation:
space-group type: Pmm2, No. 25
magnetization: 0.0 Bohr magnetons per cell
calculated volume: 19.910 Å³ per atom
raw formation energy: -0.608 eV/atom

Cell and atoms, written as POSCAR:
```
Er2Si3
1.0
3.805 0.000 0.000
0.000 3.923 0.000
0.000 0.000 6.669
Si Er
3 2
Direct
0.500 0.000 0.807
0.500 0.000 0.156
0.000 0.000 0.367
0.000 0.500 0.004
0.500 0.500 0.494
```

[6]
Compound: MgCuTc2
Source: the Alexandria database
Functional: meta-GGA SCAN
Structure: PBEsol geometry

Values from the calculation:
space-group type: Pm, No. 6
formation energy: 0.132 eV per atom
magnetization: 0.0 Bohr magnetons per cell
calculated volume: 14.216 Å³ per atom

Cell and atoms, written as POSCAR:
```
MgCuTc2
1.0
2.618 0.000 0.006
0.000 4.284 0.000
-0.783 0.000 5.068
Cu Mg Tc
1 1 2
Direct
0.529 0.000 0.513
0.246 0.500 0.730
0.966 0.000 0.029
0.759 0.500 0.228
```

[7]
Compound: LaRh2Au
Source: the Alexandria database
Functional: meta-GGA SCAN
Structure: PBEsol geometry

Values from the calculation:
space-group type: P4/mmm, No. 123
formation energy: -0.518 eV per atom
magnetization: 0.6 Bohr magnetons per cell
calculated volume: 17.745 Å³ per atom

Cell and atoms, written as POSCAR:
```
LaRh2Au
1.0
-3.287 -2.077 0.407
2.306 -3.486 0.827
-0.076 0.935 4.156
Au La Rh
1 1 2
Direct
0.500 0.000 0.000
0.500 0.500 0.500
0.000 0.000 0.500
0.000 0.500 0.000
```

[8]
Compound: LaRhCl4
Source: the Alexandria database
Functional: meta-GGA SCAN
Structure: PBEsol geometry

Values from the calculation:
space-group type: F-43m, No. 216
magnetization: 2.1 Bohr magnetons per cell
calculated volume: 21.013 Å³ per atom
raw formation energy: -0.253 eV/atom

Cell and atoms, written as POSCAR:
```
LaRhCl4
1.0
-0.448 3.093 -4.681
-1.226 -2.476 -4.903
-5.041 0.800 -2.373
Cl La Rh
4 1 1
Direct
0.375 0.375 0.375
0.375 0.375 0.875
0.875 0.375 0.375
0.375 0.875 0.375
0.750 0.750 0.750
0.000 0.000 0.000
```

[9]
Compound: FePRh2
Source: the Alexandria database
Functional: meta-GGA SCAN
Structure: PBEsol geometry

Values from the calculation:
space-group type: F-43m, No. 216
formation energy: -0.031 eV per atom
magnetization: 2.7 Bohr magnetons per cell
calculated volume: 12.524 Å³ per atom

Cell and atoms, written as POSCAR:
```
FePRh2
1.0
4.138 0.000 0.000
2.069 3.583 0.000
2.069 1.194 3.378
Fe P Rh
1 1 2
Direct
0.500 0.500 0.500
0.750 0.750 0.750
0.000 0.000 0.000
0.250 0.250 0.250
```

[10]
Compound: FeNiOs
Source: the Alexandria database
Functional: meta-GGA SCAN
Structure: PBEsol geometry

Values from the calculation:
excess energy over the best structure of this formula in the dataset: 0.000 eV per atom
space-group type: Imm2, No. 44
formation energy: 0.143 eV per atom
magnetization: 1.2 Bohr magnetons per cell
calculated volume: 11.461 Å³ per atom

Cell and atoms, written as POSCAR:
```
FeNiOs
1.0
-0.757 -1.757 -1.738
2.440 1.191 -2.268
1.648 -2.167 3.395
Fe Ni Os
1 1 1
Direct
0.998 0.998 0.996
0.666 0.666 0.331
0.337 0.337 0.673
```

[11]
Compound: ZnCuAu2
Source: the Alexandria database
Functional: meta-GGA SCAN
Structure: PBEsol geometry

Values from the calculation:
space-group type: F-43m, No. 216
formation energy: -0.089 eV per atom
magnetization: 0.0 Bohr magnetons per cell
calculated volume: 15.019 Å³ per atom

Cell and atoms, written as POSCAR:
```
ZnCuAu2
1.0
-1.139 4.245 0.074
-1.203 1.887 3.784
2.634 2.949 1.920
Zn Au Cu
1 2 1
Direct
0.250 0.250 0.250
0.000 0.000 0.000
0.750 0.750 0.750
0.500 0.500 0.500
```

[12]
Compound: Th5Sn4
Source: the Alexandria database
Functional: meta-GGA SCAN
Structure: PBEsol geometry

Values from the calculation:
space-group type: P6_3/mcm, No. 193
formation energy: -0.636 eV per atom
magnetization: 0.0 Bohr magnetons per cell
calculated volume: 28.608 Å³ per atom

Cell and atoms, written as POSCAR:
```
Th5Sn4
1.0
6.485 0.000 0.000
0.000 9.575 0.000
0.000 -4.788 8.293
Th Sn
10 8
Direct
0.750 0.280 0.000
0.750 0.720 0.720
0.000 0.333 0.667
0.000 0.667 0.333
0.250 0.280 0.280
0.750 0.000 0.280
0.250 0.720 0.000
0.250 0.000 0.720
0.500 0.333 0.667
0.500 0.667 0.333
0.750 0.380 0.380
0.750 0.620 0.000
0.750 0.000 0.620
0.250 0.000 0.380
0.250 0.620 0.620
0.500 0.000 0.000
0.250 0.380 0.000
0.000 0.000 0.000
```

[13]
Compound: Sc4MnIr
Source: the Alexandria database
Functional: meta-GGA SCAN
Structure: PBEsol geometry

Values from the calculation:
space-group type: F-43m, No. 216
formation energy: 0.246 eV per atom
magnetization: 2.2 Bohr magnetons per cell
calculated volume: 18.324 Å³ per atom

Cell and atoms, written as POSCAR:
```
Sc4MnIr
1.0
-2.908 4.414 0.988
-2.631 0.498 4.663
1.676 3.559 3.666
Ir Mn Sc
1 1 4
Direct
0.750 0.750 0.750
0.000 0.000 0.000
0.376 0.376 0.376
0.376 0.376 0.873
0.873 0.376 0.376
0.376 0.873 0.376
```

[14]
Compound: BaZnSiMo2
Source: the Alexandria database
Functional: meta-GGA SCAN
Structure: PBEsol geometry

Values from the calculation:
space-group type: P4/mmm, No. 123
magnetization: 4.5 Bohr magnetons per cell
calculated volume: 26.821 Å³ per atom
raw formation energy: 3.014 eV/atom

Cell and atoms, written as POSCAR:
```
BaZnSiMo2
1.0
-0.966 3.651 -3.325
-2.603 -3.255 -2.819
-4.418 1.241 2.647
Zn Mo Si Ba
1 2 1 1
Direct
0.500 0.500 0.500
0.000 0.500 0.000
0.500 0.000 0.000
0.000 0.000 0.500
0.000 0.000 0.000
```

[15]
Compound: MgBe2Mo
Source: the Alexandria database
Functional: meta-GGA SCAN
Structure: PBEsol geometry

Values from the calculation:
space-group type: Imm2, No. 44
formation energy: 0.253 eV per atom
magnetization: 0.0 Bohr magnetons per cell
calculated volume: 12.376 Å³ per atom

Cell and atoms, written as POSCAR:
```
MgBe2Mo
1.0
-0.181 -0.852 -2.548
4.002 -1.351 0.167
-3.281 -2.783 2.587
Be Mo Mg
2 1 1
Direct
0.971 0.971 0.942
0.272 0.772 0.543
0.737 0.237 0.474
0.520 0.520 0.040
```

[16]
Compound: Sc3TlOs
Source: the Alexandria database
Functional: meta-GGA SCAN
Structure: PBEsol geometry

Values from the calculation:
space-group type: Pm-3m, No. 221
formation energy: -0.202 eV per atom
magnetization: 0.0 Bohr magnetons per cell
calculated volume: 24.617 Å³ per atom

Cell and atoms, written as POSCAR:
```
Sc3TlOs
1.0
-0.542 3.118 -3.837
-4.715 -1.488 -0.543
-1.488 3.579 3.118
Sc Tl Os
3 1 1
Direct
0.000 0.500 0.000
0.000 0.000 0.500
0.500 0.000 0.000
0.500 0.500 0.500
0.000 0.000 0.000
```

[17]
Compound: SrPtW3
Source: the Alexandria database
Functional: meta-GGA SCAN
Structure: PBEsol geometry

Values from the calculation:
space-group type: Pm-3m, No. 221
formation energy: 1.857 eV per atom
magnetization: 0.0 Bohr magnetons per cell
calculated volume: 23.068 Å³ per atom

Cell and atoms, written as POSCAR:
```
SrPtW3
1.0
-4.189 -1.933 -1.551
0.539 -3.684 3.136
-2.419 2.527 3.385
Sr W Pt
1 3 1
Direct
0.500 0.500 0.500
0.000 0.500 0.000
0.000 0.000 0.500
0.500 0.000 0.000
0.000 0.000 0.000
```

[18]
Compound: LiHgBr2
Source: the Alexandria database
Functional: meta-GGA SCAN
Structure: PBEsol geometry

Values from the calculation:
excess energy over the best structure of this formula in the dataset: 0.000 eV per atom
space-group type: R-3m, No. 166
magnetization: 0.0 Bohr magnetons per cell
calculated volume: 23.976 Å³ per atom
raw formation energy: -0.816 eV/atom

Cell and atoms, written as POSCAR:
```
LiHgBr2
1.0
-1.802 0.871 -3.458
-3.976 0.355 -0.146
-1.374 7.179 0.216
Br Hg Li
2 1 1
Direct
0.264 0.264 0.207
0.736 0.736 0.793
0.500 0.500 0.500
0.000 0.000 0.000
```

[19]
Compound: Ce2WC2
Source: the Alexandria database
Functional: meta-GGA SCAN
Structure: PBEsol geometry

Values from the calculation:
space-group type: P4_2/mnm, No. 136
formation energy: -0.304 eV per atom
magnetization: 2.7 Bohr magnetons per cell
calculated volume: 16.075 Å³ per atom

Cell and atoms, written as POSCAR:
```
Ce2WC2
1.0
5.598 0.000 0.000
0.000 5.598 0.000
0.000 0.000 10.258
Ce W C
8 4 8
Direct
0.180 0.180 0.345
0.320 0.680 0.845
0.680 0.320 0.845
0.680 0.320 0.155
0.320 0.680 0.155
0.180 0.180 0.655
0.820 0.820 0.345
0.820 0.820 0.655
0.320 0.680 0.500
0.820 0.820 0.000
0.180 0.180 0.000
0.680 0.320 0.500
0.000 0.000 0.146
0.500 0.500 0.646
0.500 0.000 0.500
0.500 0.500 0.354
0.000 0.000 0.854
0.500 0.000 0.000
0.000 0.500 0.000
0.000 0.500 0.500
```

[20]
Compound: Ti5Sb2Rh
Source: the Alexandria database
Functional: meta-GGA SCAN
Structure: PBEsol geometry

Values from the calculation:
space-group type: I4/mcm, No. 140
magnetization: 0.0 Bohr magnetons per cell
calculated volume: 17.280 Å³ per atom
raw formation energy: -0.614 eV/atom

Cell and atoms, written as POSCAR:
```
Ti5Sb2Rh
1.0
-2.118 4.141 2.183
-5.907 -2.225 4.536
3.542 1.431 6.769
Ti Sb Rh
10 4 2
Direct
0.426 0.863 0.284
0.711 0.716 0.863
0.289 0.284 0.137
0.574 0.137 0.716
0.211 0.863 0.716
0.789 0.137 0.284
0.074 0.716 0.137
0.926 0.284 0.863
0.250 0.500 0.500
0.750 0.500 0.500
0.337 0.500 0.827
0.163 0.173 0.500
0.837 0.827 0.500
0.663 0.500 0.173
0.250 0.000 0.000
0.750 0.000 0.000
```

[21]
Compound: Ta2AsOs
Source: the Alexandria database
Functional: meta-GGA SCAN
Structure: PBEsol geometry

Values from the calculation:
space-group type: Cm, No. 8
formation energy: -0.147 eV per atom
magnetization: 0.0 Bohr magnetons per cell
calculated volume: 16.002 Å³ per atom

Cell and atoms, written as POSCAR:
```
Ta2AsOs
1.0
3.106 0.000 0.000
0.000 4.359 -0.117
-1.553 -1.663 4.773
As Os Ta
1 1 2
Direct
0.517 0.484 0.033
0.240 0.775 0.480
0.985 0.954 0.969
0.759 0.288 0.518
```

[22]
Compound: InTcRu3
Source: the Alexandria database
Functional: meta-GGA SCAN
Structure: PBEsol geometry

Values from the calculation:
space-group type: Pm-3m, No. 221
formation energy: 1.432 eV per atom
magnetization: 0.0 Bohr magnetons per cell
calculated volume: 18.959 Å³ per atom

Cell and atoms, written as POSCAR:
```
InTcRu3
1.0
4.560 0.000 0.000
0.000 4.560 0.000
0.000 0.000 4.560
Ru Tc In
3 1 1
Direct
0.000 0.500 0.000
0.000 0.000 0.500
0.500 0.000 0.000
0.000 0.000 0.000
0.500 0.500 0.500
```

[23]
Compound: Mg2FeW
Source: the Alexandria database
Functional: meta-GGA SCAN
Structure: PBEsol geometry

Values from the calculation:
space-group type: Cmmm, No. 65
formation energy: 0.461 eV per atom
magnetization: 2.6 Bohr magnetons per cell
calculated volume: 15.713 Å³ per atom

Cell and atoms, written as POSCAR:
```
Mg2FeW
1.0
-1.180 -2.103 -1.079
4.217 -2.867 0.973
-3.698 0.210 3.637
Fe Mg W
1 2 1
Direct
0.500 0.500 0.500
0.000 0.500 0.000
0.000 0.000 0.500
0.500 0.000 0.000
```

[24]
Compound: MgTlNi2
Source: the Alexandria database
Functional: meta-GGA SCAN
Structure: PBEsol geometry

Values from the calculation:
space-group type: P4/mmm, No. 123
formation energy: 0.052 eV per atom
magnetization: 0.0 Bohr magnetons per cell
calculated volume: 14.547 Å³ per atom

Cell and atoms, written as POSCAR:
```
MgTlNi2
1.0
3.492 0.000 0.000
0.000 4.082 0.000
0.000 0.000 4.082
Ni Tl Mg
2 1 1
Direct
0.000 0.000 0.500
0.000 0.500 0.000
0.500 0.500 0.500
0.500 0.000 0.000
```

[25]
Compound: LaScPt3
Source: the Alexandria database
Functional: meta-GGA SCAN
Structure: PBEsol geometry

Values from the calculation:
space-group type: Pm-3m, No. 221
formation energy: -0.616 eV per atom
magnetization: 0.0 Bohr magnetons per cell
calculated volume: 22.532 Å³ per atom

Cell and atoms, written as POSCAR:
```
LaScPt3
1.0
-0.625 -1.107 4.659
0.386 -4.695 -1.064
4.774 0.234 0.696
Sc Pt La
1 3 1
Direct
0.000 0.000 0.000
0.000 0.500 0.000
0.000 0.000 0.500
0.500 0.000 0.000
0.500 0.500 0.500
```

[26]
Compound: MgMnSi2
Source: the Alexandria database
Functional: meta-GGA SCAN
Structure: PBEsol geometry

Values from the calculation:
space-group type: C2/m, No. 12
magnetization: 1.5 Bohr magnetons per cell
calculated volume: 14.388 Å³ per atom
raw formation energy: -0.046 eV/atom

Cell and atoms, written as POSCAR:
```
MgMnSi2
1.0
2.905 0.000 0.000
-1.452 3.873 0.006
0.000 -0.979 5.114
Mg Mn Si
1 1 2
Direct
0.000 0.000 0.500
0.500 0.000 0.000
0.768 0.535 0.821
0.232 0.465 0.179
```